[1]
{"formula": "Nd2MgRhO5", "functional": "PBE-GGA", "state": "relaxed", "dos_ef_per_ev_fu": 7.03, "total_energy_ev_per_atom": -6.929, "raw_formation_energy_mev_per_atom": -2121, "sg": "No. 127", "cell": [[-5.5968, 1.2838, -0.5305], [-1.6026, -6.3454, 1.5524], [-0.2381, 1.6542, 6.5153]], "species": ["Rh", "Rh", "O", "O", "O", "O", "O", "O", "O", "O", "O", "O", "Mg", "Mg", "Nd", "Nd", "Nd", "Nd"], "fractional_positions": [[0.0000, 0.0000, 0.5000], [0.0000, 0.5000, 0.0000], [0.7550, 0.6456, 0.8544], [0.5000, 0.5000, 0.5000], [0.2450, 0.6456, 0.8544], [0.2450, 0.8544, 0.3544], [0.7550, 0.8544, 0.3544], [0.2450, 0.1456, 0.6456], [0.7550, 0.3544, 0.1456], [0.7550, 0.1456, 0.6456], [0.2450, 0.3544, 0.1456], [0.5000, 0.0000, 0.0000], [0.0000, 0.5000, 0.5000], [0.0000, 0.0000, 0.0000], [0.5000, 0.8283, 0.6717], [0.5000, 0.3283, 0.8283], [0.5000, 0.1717, 0.3283], [0.5000, 0.6717, 0.1717]]}

[2]
{"formula": "Nd2MgRuO6", "functional": "PBE-GGA", "state": "relaxed", "dos_ef_per_ev_fu": 4.62, "total_energy_ev_per_atom": -7.550, "raw_formation_energy_mev_per_atom": -2535, "sg": "No. 14", "cell": [[-3.7986, 0.4775, -3.9385], [-4.1488, -0.3925, 3.9539], [0.1119, 7.8066, 0.8923]], "species": ["O", "O", "O", "O", "O", "O", "O", "O", "O", "O", "O", "O", "Nd", "Nd", "Nd", "Nd", "Mg", "Mg", "Ru", "Ru"], "fractional_positions": [[0.2984, 0.6990, 0.0492], [0.4024, 0.9718, 0.7470], [0.0976, 0.4718, 0.7530], [0.9024, 0.5282, 0.2470], [0.2016, 0.1990, 0.4508], [0.7984, 0.8010, 0.5492], [0.7016, 0.3010, 0.9508], [0.6948, 0.2935, 0.5524], [0.5976, 0.0282, 0.2530], [0.3052, 0.7065, 0.4476], [0.8052, 0.7935, 0.9476], [0.1948, 0.2065, 0.0524], [0.5165, 0.5632, 0.7505], [0.4835, 0.4368, 0.2495], [0.0165, 0.9368, 0.2505], [0.9835, 0.0632, 0.7495], [0.0000, 0.5000, 0.5000], [0.5000, 0.0000, 0.0000], [0.5000, 0.0000, 0.5000], [0.0000, 0.5000, 0.0000]]}

[3]
{"formula": "Nd2MgScO", "functional": "PBE-GGA", "state": "relaxed", "dos_ef_per_ev_fu": 4.50, "total_energy_ev_per_atom": -5.690, "raw_formation_energy_mev_per_atom": -1206, "sg": "No. 123", "cell": [[4.2460, 0.0000, 0.0000], [0.0000, 5.2086, 0.0000], [0.0000, 0.0000, 5.2086]], "species": ["Nd", "Nd", "Mg", "O", "Sc"], "fractional_positions": [[0.0000, 0.5000, 0.0000], [0.0000, 0.0000, 0.5000], [0.5000, 0.5000, 0.5000], [0.0000, 0.0000, 0.0000], [0.5000, 0.0000, 0.0000]]}